# 1
DFT (PBE-GGA) results for crystalline Tb3In3Ni2Au at its relaxed geometry.

Cell: 7.543 7.543 3.950 Å, 90.00 90.00 120.00°
Element x y z (fractional)
Tb (0.000, 0.590, 0.000)
Tb (0.410, 0.410, 0.000)
Tb (0.590, 0.000, 0.000)
In (0.000, 0.272, 0.500)
In (0.272, 0.000, 0.500)
In (0.728, 0.728, 0.500)
Ni (0.333, 0.667, 0.500)
Ni (0.667, 0.333, 0.500)
Au (0.000, 0.000, 0.000)

Properties
- theoretical density (Mg/m³) = 9.7
- SG = P-62m (189)
- calculated total energy (eV per atom) = -4.61


# 2
DFT (PBE-GGA) results for crystalline InNiTe3Au at its relaxed geometry.

Cell: 7.192 7.192 11.338 Å, 90.00 90.00 149.24°
Element x y z (fractional)
In (0.197, 0.803, 0.750)
In (0.803, 0.197, 0.250)
Ni (0.500, 0.500, 0.000)
Ni (0.500, 0.500, 0.500)
Te (0.123, 0.877, 0.009)
Te (0.123, 0.877, 0.491)
Te (0.488, 0.512, 0.250)
Te (0.512, 0.488, 0.750)
Te (0.877, 0.123, 0.509)
Te (0.877, 0.123, 0.991)
Au (0.154, 0.846, 0.250)
Au (0.846, 0.154, 0.750)

Properties
- theoretical density (Mg/m³) = 8.3
- SG = Cmcm (63)
- relative energy among the computed polymorphs (meV/atom) = 0